Record 1
PBE-GGA UBr3Cl2, relaxed; electronic total energy = -4.7029 eV/atom; mass density = 4.065 Mg/m³; magnetic moment = 2.00 μB per cell
1.0
-0.691 6.602 -1.450
-6.126 -3.213 2.661
6.217 2.137 8.087
Br Cl U
6 4 2
Cartesian
-5.204 2.429 1.441
-1.754 1.797 3.598
0.912 6.426 2.635
-1.512 -0.900 6.663
1.155 3.730 5.700
4.604 3.098 7.857
-2.011 4.951 0.970
1.262 2.490 1.598
-1.862 3.036 7.700
1.412 0.575 8.328
-0.036 0.447 2.125
-0.564 5.079 7.173

---

Record 2
PBE-GGA U2BrCl5, relaxed; electronic total energy = -5.7889 eV/atom; mass density = 5.792 Mg/m³; magnetic moment = 6.00 μB per cell
1.0
-6.945 2.149 1.713
-1.323 -1.218 -3.835
2.091 -7.118 1.540
Br Cl U
1 5 2
Cartesian
-0.053 -5.937 1.904
-5.314 0.299 -0.601
-2.769 -1.992 -0.751
0.200 -2.580 0.750
-5.714 -2.929 0.562
-2.791 -3.655 2.123
-3.998 -0.922 1.672
-1.621 -4.596 -0.320

---

Record 3
PBE-GGA UBrCl2, relaxed; electronic total energy = -5.7028 eV/atom; mass density = 5.905 Mg/m³; magnetic moment = 6.00 μB per cell
1.0
7.460 0.000 0.000
0.000 4.294 0.000
-3.513 0.000 6.827
Br Cl U
2 4 2
Cartesian
4.383 3.220 2.891
-0.436 1.073 3.936
2.673 1.073 0.684
0.103 3.220 1.269
3.843 1.073 5.558
1.273 3.220 6.142
5.602 1.073 1.093
-1.656 3.220 5.734